Entry 1:
Below is crystalline KMg2W at its relaxed geometry, with properties calculated at the PBE level.

Calculated values
The crystal system is cubic. The total energy is -3.13 eV/atom. The calculation puts the density of states at the Fermi level at 2.6 states/eV/cell. Its total magnetization is 2.75 Bohr magnetons per cell. For the mass density, the calculation gives 4.63 g/cm³. As for the energy above the lowest structure with this stoichiometry: 566 meV/atom. The space group is Fm-3m, No. 225.

```
KMg2W
1.0
-3.706 -2.762 2.299
-4.543 2.190 1.106
-4.227 -1.350 -2.639
K Mg W
1 2 1
direct
0.000 0.000 0.000
0.250 0.250 0.250
0.750 0.750 0.750
0.500 0.500 0.500
```

---

Entry 2:
Below is crystalline K3MgW at its relaxed geometry, with properties calculated at the PBE level.

Calculated values
The crystal system is cubic. The total energy is -2.07 eV/atom. The calculation puts the density of states at the Fermi level at 5.4 states/eV/cell. Its total magnetization is 6.23 Bohr magnetons per cell. For the mass density, the calculation gives 1.71 g/cm³. As for the energy above the lowest structure with this stoichiometry: 0 meV/atom. The space group is Pm-3m, No. 221.

```
K3MgW
1.0
6.805 0.000 0.000
0.000 6.805 0.000
0.000 0.000 6.805
K Mg W
3 1 1
direct
0.000 0.500 0.000
0.000 0.000 0.500
0.500 0.000 0.000
0.500 0.500 0.500
0.000 0.000 0.000
```

---

Entry 3:
Below is crystalline KMgW at its relaxed geometry, with properties calculated at the PBE level.

Calculated values
The crystal system is orthorhombic. The total energy is -4.25 eV/atom. The calculation puts the density of states at the Fermi level at 2.6 states/eV/cell. Its total magnetization is 0.00 Bohr magnetons per cell. For the mass density, the calculation gives 6.14 g/cm³. As for the energy above the lowest structure with this stoichiometry: 0 meV/atom. The space group is Fmm2, No. 42.

```
KMgW
1.0
-5.950 1.878 -6.592
-4.015 0.305 -7.963
-2.226 -1.619 0.725
K Mg W
1 1 1
direct
0.006 0.006 0.994
0.314 0.314 0.686
0.679 0.679 0.321
```